# 1
An optimized crystal structure of Tm6Co2Sb. Source: Alexandria via LeMat-Bulk, functional PBE.

Unit cell a=9.2458 b=9.4515 c=9.8985 alpha=90.00 beta=90.00 gamma=90.00
Space group Immm (No. 71)
Inequivalent atoms, fractional coordinates:
Tm: 0.0000 0.2081 0.2365
Tm: 0.1846 0.5000 0.1749
Tm: 0.2160 0.3166 0.5000
Co: 0.0000 0.3421 0.0000
Co: 0.0000 0.5000 0.3864
Sb: 0.0000 0.0000 0.0000
Sb: 0.0000 0.0000 0.5000

Its spin magnetization is 0.000 μB per atom. The calculation puts the final energy at -195.1 eV per cell.



# 2
An optimized crystal structure of Tm6CoSb3. Source: Alexandria via LeMat-Bulk, functional PBE.

Unit cell a=11.1118 b=14.1215 c=7.3165 alpha=90.00 beta=90.00 gamma=90.00
Space group Cmc2_1 (No. 36)
Inequivalent atoms, fractional coordinates:
Tm: 0.0000 0.0074 0.0000
Tm: 0.0000 0.2434 0.5395
Tm: 0.1526 0.2469 0.0777
Tm: 0.1681 0.4600 0.5743
Co: 0.0000 0.1381 0.2533
Sb: 0.0000 0.3966 0.8791
Sb: 0.1815 0.1103 0.7532

Its spin magnetization is 0.000 μB per atom. The calculation puts the final energy at -204.0 eV per cell.



# 3
An optimized crystal structure of Tm8Co2Sb. Source: Alexandria via LeMat-Bulk, functional PBE.

Unit cell a=8.4363 b=12.7736 c=5.3694 alpha=90.00 beta=103.26 gamma=90.00
Space group C2/m (No. 12)
Inequivalent atoms, fractional coordinates:
Tm: 0.0000 0.2489 0.0000
Tm: 0.1075 0.5000 0.7943
Tm: 0.2033 0.1322 0.5850
Co: 0.0000 0.3086 0.5000
Sb: 0.0000 0.0000 0.0000

Its spin magnetization is 0.000 μB per atom. The calculation puts the final energy at -113.5 eV per cell.



# 4
An optimized crystal structure of Tm4CoSb. Source: Alexandria via LeMat-Bulk, functional PBE.

Unit cell a=7.9785 b=3.9874 c=18.7095 alpha=90.00 beta=90.00 gamma=90.00
Space group Pnma (No. 62)
Inequivalent atoms, fractional coordinates:
Tm: 0.0018 0.2500 0.0664
Tm: 0.0405 0.2500 0.7853
Tm: 0.1424 0.2500 0.3584
Tm: 0.1436 0.2500 0.5491
Co: 0.2465 0.2500 0.9494
Sb: 0.2385 0.7500 0.6896

As for the energy above the lowest structure with this stoichiometry: 0.00 eV/f.u. Its spin magnetization is 0.060 μB per atom. The calculation puts the final energy at -128.0 eV per cell.



| no. | raw formation energy (eV/f.u.) |
| --- | --- |
| 1 | -3.6 |
| 2 | -4.7 |
| 3 | -2.6 |
| 4 | -2.9 |